# 1
First-principles (PBE-GGA) data for a geometry-optimized Ac8La2Sm structure, as listed in Alexandria via LeMat-Bulk.

Lattice parameters (Å, degrees): 6.328 9.094 9.094 86.71 81.06 81.06
Positions (direct):
Ac  0.799  0.142  0.637
Ac  0.291  0.420  0.420
Ac  0.799  0.637  0.142
Ac  0.493  0.141  0.141
La  0.912  0.265  0.265
La  0.088  0.735  0.735
Ac  0.507  0.859  0.859
Ac  0.201  0.858  0.363
Ac  0.201  0.363  0.858
Sm  0.000  0.000  0.000
Ac  0.709  0.580  0.580

Results
density = 7.3 g/cm3
calculated formation energy = 0.347 eV/atom
V = 510.4 Å³/cell
polymorph energy (0 for the lowest one) = 0 meV/atom
Fermi-level density of states = 1.533 states/eV per atom

# 2
First-principles (PBE-GGA) data for a geometry-optimized Ac3LaSm8 structure, as listed in Alexandria via LeMat-Bulk.

Lattice parameters (Å, degrees): 9.208 9.208 9.208 76.41 137.52 119.84
Positions (direct):
Sm  0.337  0.686  0.391
Sm  0.295  0.946  0.609
Sm  0.429  0.081  0.197
Ac  0.533  0.397  0.866
Ac  0.532  0.667  0.134
Sm  0.942  0.999  0.613
Sm  0.386  0.328  0.387
La  0.872  0.872  0.000
Sm  0.884  0.232  0.803
Sm  0.831  0.153  0.176
Sm  0.977  0.655  0.824
Ac  0.983  0.483  0.500

Results
density = 7.5 g/cm3
calculated formation energy = 0.124 eV/atom
V = 445.6 Å³/cell
Fermi-level density of states = 1.584 states/eV per atom

# 3
First-principles (PBE-GGA) data for a geometry-optimized Ac8La6Sm structure, as listed in Alexandria via LeMat-Bulk.

Lattice parameters (Å, degrees): 7.229 10.157 10.157 120.00 90.00 90.00
Positions (direct):
La  0.603  0.386  0.331
Ac  0.883  0.336  0.032
La  0.397  0.614  0.669
La  0.397  0.055  0.386
La  0.397  0.331  0.945
Ac  0.117  0.664  0.968
Ac  0.883  0.696  0.664
Sm  0.500  0.000  0.000
Ac  0.117  0.304  0.336
La  0.603  0.669  0.055
Ac  0.883  0.968  0.304
Ac  0.779  0.333  0.667
La  0.603  0.945  0.614
Ac  0.117  0.032  0.696
Ac  0.221  0.667  0.333

Results
density = 7.2 g/cm3
calculated formation energy = 0.208 eV/atom
V = 645.9 Å³/cell
Fermi-level density of states = 1.392 states/eV per atom

# 4
First-principles (PBE-GGA) data for a geometry-optimized Ac2La3Sm2 structure, as listed in Alexandria via LeMat-Bulk.

Lattice parameters (Å, degrees): 3.804 11.959 6.512 79.64 73.04 71.51
Positions (direct):
La  0.000  0.000  0.000
La  0.578  0.566  0.716
Ac  0.865  0.851  0.568
Ac  0.135  0.149  0.432
Sm  0.280  0.289  0.863
La  0.422  0.434  0.284
Sm  0.720  0.711  0.137

Results
density = 7.3 g/cm3
calculated formation energy = 0.028 eV/atom
V = 267.4 Å³/cell
polymorph energy (0 for the lowest one) = 0 meV/atom
Fermi-level density of states = 1.790 states/eV per atom

# 5
First-principles (PBE-GGA) data for a geometry-optimized Ac4La8Sm structure, as listed in Alexandria via LeMat-Bulk.

Lattice parameters (Å, degrees): 12.385 12.385 8.222 90.00 138.86 120.00
Positions (direct):
La  0.170  0.840  0.010
La  0.319  0.160  0.990
La  0.170  0.329  0.010
Ac  0.500  0.000  0.000
Ac  0.500  0.500  0.000
La  0.830  0.671  0.990
La  0.830  0.160  0.990
La  0.502  0.251  0.753
La  0.681  0.840  0.010
La  0.498  0.749  0.247
Ac  0.000  0.500  0.000
Ac  0.000  0.000  0.000
Sm  0.000  0.500  0.500

Results
density = 6.7 g/cm3
calculated formation energy = 0.375 eV/atom
V = 539.2 Å³/cell
Fermi-level density of states = 2.186 states/eV per atom

# 6
First-principles (PBE-GGA) data for a geometry-optimized Ac8LaSm5 structure, as listed in Alexandria via LeMat-Bulk.

Lattice parameters (Å, degrees): 9.106 9.106 9.106 111.43 105.62 111.43
Positions (direct):
Sm  0.825  0.699  0.729
Sm  0.271  0.096  0.970
Ac  0.931  0.099  0.663
Ac  0.564  0.901  0.832
Ac  0.728  0.255  0.332
Ac  0.527  0.604  0.272
Ac  0.337  0.268  0.436
Ac  0.668  0.396  0.923
Sm  0.500  0.000  0.500
La  0.250  0.500  0.750
Sm  0.873  0.904  0.175
Ac  0.168  0.732  0.069
Ac  0.077  0.745  0.473
Sm  0.030  0.301  0.127

Results
density = 7.8 g/cm3
calculated formation energy = 0.230 eV/atom
V = 579.2 Å³/cell
Fermi-level density of states = 1.490 states/eV per atom

Q: Which formula does entry 5 have?
A: Ac4La8Sm

Q: Number 5 is which compound?
A: Ac4La8Sm

Copy entry 6 word for word.
First-principles (PBE-GGA) data for a geometry-optimized Ac8LaSm5 structure, as listed in Alexandria via LeMat-Bulk.

Lattice parameters (Å, degrees): 9.106 9.106 9.106 111.43 105.62 111.43
Positions (direct):
Sm  0.825  0.699  0.729
Sm  0.271  0.096  0.970
Ac  0.931  0.099  0.663
Ac  0.564  0.901  0.832
Ac  0.728  0.255  0.332
Ac  0.527  0.604  0.272
Ac  0.337  0.268  0.436
Ac  0.668  0.396  0.923
Sm  0.500  0.000  0.500
La  0.250  0.500  0.750
Sm  0.873  0.904  0.175
Ac  0.168  0.732  0.069
Ac  0.077  0.745  0.473
Sm  0.030  0.301  0.127

Results
density = 7.8 g/cm3
calculated formation energy = 0.230 eV/atom
V = 579.2 Å³/cell
Fermi-level density of states = 1.490 states/eV per atom